Material: SrRe2SiNi
Method: DFT, SCAN
State: single point on PBEsol structure

Values from the calculation:
**Crystal system**: tetragonal
**Raw formation energy**: 89.01 kcal/mol of atoms

abc: 4.702 4.702 4.905
angles: 90.00 90.00 90.00
Space group P4/mmm (No. 123)
Inequivalent atoms, fractional coordinates:
1 Sr 0.000 0.000 0.000 (multiplicity 1)
2 Re 0.000 0.500 0.000 (multiplicity 2)
3 Si 0.000 0.000 0.500 (multiplicity 1)
4 Ni 0.500 0.500 0.500 (multiplicity 1)

=====

Material: Sr2ReNi
Method: DFT, SCAN
State: single point on PBEsol structure

Values from the calculation:
**Crystal system**: tetragonal
**Distance to the lowest polymorph of the same formula**: 0 kJ/mol of formula units
**Energy of formation from the pure elements**: 59 kJ per mole of atoms

abc: 3.327 3.327 8.920
angles: 90.00 90.00 90.00
Space group P4mm (No. 99)
Inequivalent atoms, fractional coordinates:
1 Sr 0.000 0.000 0.000 (multiplicity 1)
2 Sr 0.500 0.500 0.411 (multiplicity 1)
3 Re 0.500 0.500 0.744 (multiplicity 1)
4 Ni 0.000 0.000 0.656 (multiplicity 1)

=====

Material: Sr2ReNi
Method: DFT, SCAN
State: single point on PBEsol structure

Values from the calculation:
**Crystal system**: cubic
**Distance to the lowest polymorph of the same formula**: 201 kJ/mol of formula units
**Energy of formation from the pure elements**: 110 kJ per mole of atoms

abc: 7.005 7.005 7.005
angles: 90.00 90.00 90.00
Space group F-43m (No. 216)
Inequivalent atoms, fractional coordinates:
1 Sr 0.000 0.000 0.000 (multiplicity 4)
2 Sr 0.250 0.250 0.250 (multiplicity 4)
3 Re 0.000 0.000 0.500 (multiplicity 4)
4 Ni 0.250 0.250 0.750 (multiplicity 4)

=====

Material: SrReNi3
Method: DFT, SCAN
State: single point on PBEsol structure

Values from the calculation:
**Crystal system**: cubic
**Energy of formation from the pure elements**: 249 kJ per mole of atoms

abc: 4.474 4.474 4.474
angles: 90.00 90.00 90.00
Space group Pm-3m (No. 221)
Inequivalent atoms, fractional coordinates:
1 Sr 0.000 0.000 0.000 (multiplicity 1)
2 Re 0.500 0.500 0.500 (multiplicity 1)
3 Ni 0.000 0.000 0.500 (multiplicity 3)

=====

Question: What is the formula in the second record?
Answer: Sr2ReNi

=====

Question: What is the formula in the third record?
Answer: Sr2ReNi